#w
Crystalline Zr3CoIr at its relaxed geometry. Source: Alexandria via LeMat-Bulk, functional PBE.

## Properties
**Mass density**: 9147 kg/m³
**Magnetic moment**: 0.00 μB/cell
**Space-group type**: C2/m (12)

Lattice parameters (Å, degrees): 5.4463 5.4463 7.9619 68.40 68.40 63.53
Element x y z (fractional)
Zr 0.3076 0.3076 0.8393
Zr 0.6924 0.6924 0.1607
Zr 0.0004 0.0004 0.7800
Zr 0.9996 0.9996 0.2200
Zr 0.7035 0.7035 0.6441
Zr 0.2965 0.2965 0.3559
Co 0.3068 0.6932 0.0000
Co 0.6932 0.3068 0.0000
Ir 0.7391 0.2609 0.5000
Ir 0.2609 0.7391 0.5000

***

#x
Crystalline Zr3CoIr at its relaxed geometry. Source: Alexandria via LeMat-Bulk, functional PBE.

## Properties
**Mass density**: 8334 kg/m³
**Magnetic moment**: 0.00 μB/cell
**Space-group type**: Pm-3m (221)

Lattice parameters (Å, degrees): 4.7112 4.7112 4.7112 90.00 90.00 90.00
Element x y z (fractional)
Ir 0.5000 0.5000 0.5000
Co 0.0000 0.0000 0.0000
Zr 0.0000 0.5000 0.0000
Zr 0.5000 0.0000 0.0000
Zr 0.0000 0.0000 0.5000

***

What should be chosen as the least stable of them? Choose #x.

***

#w
Crystalline KCo at its relaxed geometry. Source: Alexandria via LeMat-Bulk, functional PBE.

## Properties
**Mass density**: 3483 kg/m³
**Magnetic moment**: 3.53 μB/cell
**Space-group type**: Fd-3m (227)

Lattice parameters (Å, degrees): 5.0942 5.0942 5.0942 60.00 60.00 60.00
Element x y z (fractional)
Co 0.0000 0.0000 0.0000
Co 0.2500 0.2500 0.2500
K 0.5000 0.5000 0.5000
K 0.7500 0.7500 0.7500

***

#x
Crystalline KCo at its relaxed geometry. Source: Alexandria via LeMat-Bulk, functional PBE.

## Properties
**Mass density**: 2533 kg/m³
**Magnetic moment**: 5.19 μB/cell
**Space-group type**: Cm (8)

Lattice parameters (Å, degrees): 6.5715 6.5715 8.1382 83.19 83.19 33.56
Element x y z (fractional)
K 0.3311 0.3311 0.0545
K 0.0501 0.0501 0.3215
K 0.2764 0.2764 0.6438
Co 0.0228 0.0228 0.8504
Co 0.6069 0.6069 0.9373
Co 0.5461 0.5461 0.6924

***

What should be chosen as the least stable of them? Choose #w.

***

#w
Crystalline K2Co at its relaxed geometry. Source: Alexandria via LeMat-Bulk, functional PBE.

## Properties
**Mass density**: 1949 kg/m³
**Magnetic moment**: 3.37 μB/cell
**Space-group type**: P6_3/mmc (194)

Lattice parameters (Å, degrees): 5.9664 5.9664 7.5811 90.00 90.00 120.00
Element x y z (fractional)
K 0.0000 0.0000 0.0000
K 0.0000 0.0000 0.5000
K 0.3333 0.6667 0.2500
K 0.6667 0.3333 0.7500
Co 0.6667 0.3333 0.2500
Co 0.3333 0.6667 0.7500

***

#x
Crystalline K2Co at its relaxed geometry. Source: Alexandria via LeMat-Bulk, functional PBE.

## Properties
**Mass density**: 1724 kg/m³
**Magnetic moment**: 1.88 μB/cell
**Space-group type**: Immm (71)

Lattice parameters (Å, degrees): 8.3055 8.3055 8.3055 151.34 151.20 41.08
Element x y z (fractional)
Co 0.0000 0.0000 0.0000
K 0.6256 0.6256 0.0000
K 0.3744 0.3744 0.0000

***

What should be chosen as the least stable of them? Choose #w.

***

#w
Crystalline K2Co at its relaxed geometry. Source: Alexandria via LeMat-Bulk, functional PBE.

## Properties
**Mass density**: 2043 kg/m³
**Magnetic moment**: 1.83 μB/cell
**Space-group type**: P-3m1 (164)

Lattice parameters (Å, degrees): 5.8505 5.8505 3.7599 90.00 90.00 120.00
Element x y z (fractional)
Co 0.0000 0.0000 0.0000
K 0.3333 0.6667 0.3209
K 0.6667 0.3333 0.6791

***

#x
Crystalline K2Co at its relaxed geometry. Source: Alexandria via LeMat-Bulk, functional PBE.

## Properties
**Mass density**: 1541 kg/m³
**Magnetic moment**: 3.42 μB/cell
**Space-group type**: Cmcm (63)

Lattice parameters (Å, degrees): 16.5323 16.5323 3.9647 90.00 90.00 164.17
Element x y z (fractional)
K 0.4383 0.5617 0.2500
K 0.5617 0.4383 0.7500
K 0.6925 0.3075 0.2500
K 0.3075 0.6925 0.7500
Co 0.0151 0.9849 0.2500
Co 0.9849 0.0151 0.7500

***

What should be chosen as the least stable of them? Choose #w.

***

#w
Crystalline K2Co at its relaxed geometry. Source: Alexandria via LeMat-Bulk, functional PBE.

## Properties
**Mass density**: 1763 kg/m³
**Magnetic moment**: 3.81 μB/cell
**Space-group type**: C2/m (12)

Lattice parameters (Å, degrees): 9.1529 9.1529 7.6057 73.61 73.61 25.05
Element x y z (fractional)
K 0.3932 0.3932 0.5721
K 0.6458 0.6458 0.8971
K 0.3542 0.3542 0.1029
K 0.6068 0.6068 0.4279
Co 0.0010 0.0010 0.1378
Co 0.9990 0.9990 0.8622

***

#x
Crystalline K2Co at its relaxed geometry. Source: Alexandria via LeMat-Bulk, functional PBE.

## Properties
**Mass density**: 1658 kg/m³
**Magnetic moment**: 3.69 μB/cell
**Space-group type**: Pnnm (58)

Lattice parameters (Å, degrees): 3.8743 8.2897 8.5541 90.00 90.00 90.00
Element x y z (fractional)
K 0.0000 0.2179 0.6741
K 0.0000 0.7821 0.3259
K 0.5000 0.7179 0.8259
K 0.5000 0.2821 0.1741
Co 0.0000 0.0000 0.0000
Co 0.5000 0.5000 0.5000

***

#y
Crystalline K2Co at its relaxed geometry. Source: Alexandria via LeMat-Bulk, functional PBE.

## Properties
**Mass density**: 1611 kg/m³
**Magnetic moment**: 6.80 μB/cell
**Space-group type**: Pa-3 (205)

Lattice parameters (Å, degrees): 8.2695 8.2695 8.2695 90.00 90.00 90.00
Element x y z (fractional)
K 0.6624 0.6624 0.3376
K 0.3376 0.3376 0.6624
K 0.1624 0.8376 0.6624
K 0.8376 0.1624 0.3376
K 0.3376 0.1624 0.1624
K 0.6624 0.8376 0.8376
K 0.8376 0.3376 0.8376
K 0.1624 0.6624 0.1624
Co 0.0000 0.0000 0.0000
Co 0.5000 0.5000 0.0000
Co 0.5000 0.0000 0.5000
Co 0.0000 0.5000 0.5000

***

What should be chosen as the least stable of them? Choose #y.

***

#w
Crystalline K4Co at its relaxed geometry. Source: Alexandria via LeMat-Bulk, functional PBE.

## Properties
**Mass density**: 1222 kg/m³
**Magnetic moment**: 1.74 μB/cell
**Space-group type**: Pm-3m (221)

Lattice parameters (Å, degrees): 6.6381 6.6381 6.6381 90.00 90.00 90.00
Element x y z (fractional)
K 0.0000 0.0000 0.0000
K 0.5000 0.0000 0.5000
K 0.0000 0.5000 0.5000
K 0.5000 0.5000 0.0000
Co 0.5000 0.5000 0.5000

***

#x
Crystalline K4Co at its relaxed geometry. Source: Alexandria via LeMat-Bulk, functional PBE.

## Properties
**Mass density**: 1302 kg/m³
**Magnetic moment**: 1.55 μB/cell
**Space-group type**: Im-3m (229)

Lattice parameters (Å, degrees): 7.0932 7.0932 7.0932 109.47 109.47 109.47
Element x y z (fractional)
K 0.5000 0.0000 0.0000
K 0.5000 0.5000 0.5000
K 0.0000 0.5000 0.0000
K 0.0000 0.0000 0.5000
Co 0.0000 0.0000 0.0000

***

What should be chosen as the least stable of them? Choose #x.